1 | VASP calculation (PBE-GGA) on KCdMo after structural relaxation.

symmetry = F-43m, No. 216
density of states at the Fermi level = 1.56 states/eV/cell
crystal system = cubic
theoretical density = 3.98 g cm⁻³

Cell: 5.2661 5.2661 5.2661 Å, 60.00 60.00 60.00°
With the nearest neighbours (Å) after each atom.
Atoms (fractional coordinates):
1 K 0.0000 0.0000 0.0000  4 Cd 3.22
2 Cd 0.2500 0.2500 0.2500  4 Mo 3.22, 4 K 3.22
3 Mo 0.5000 0.5000 0.5000  4 Cd 3.22

=====

2 | VASP calculation (PBE-GGA) on KCdMo after structural relaxation.

symmetry = F-43m, No. 216
density of states at the Fermi level = 1.07 states/eV/cell
crystal system = cubic
theoretical density = 3.43 g cm⁻³

Cell: 5.5319 5.5319 5.5319 Å, 60.00 60.00 60.00°
With the nearest neighbours (Å) after each atom.
Atoms (fractional coordinates):
1 K 0.0000 0.0000 0.0000  4 Cd 3.39, 4 Mo 3.39
2 Cd 0.7500 0.7500 0.7500  4 K 3.39
3 Mo 0.2500 0.2500 0.2500  4 K 3.39

=====

1 takes first place; second place is 337 meV/atom up.